No. 1
DFT (GGA-PBEsol) results for a relaxed structure of Ni2W.

The space group is Cmcm (No. 63) and the conventional cell measures 2.5967, 13.3888 and 4.1477 Å, with angles of 90.00, 90.00 and 90.00 degrees. The asymmetric unit holds Ni at (0.0000, 0.0528, 0.2500), Ni at (0.0000, 0.2808, 0.7500) and W at (0.0000, 0.3866, 0.2500).

---

No. 2
DFT (GGA-PBEsol) results for a relaxed structure of YNiW2.

The space group is Immm (No. 71) and the conventional cell measures 2.9903, 4.4532 and 10.0698 Å, with angles of 90.00, 90.00 and 90.00 degrees. The asymmetric unit holds Y at (0.0000, 0.0000, 0.0000), Ni at (0.0000, 0.0000, 0.5000) and W at (0.0000, 0.5000, 0.2243).

---

No. 3
DFT (GGA-PBEsol) results for a relaxed structure of YNiW2.

The space group is R-3m (No. 166, hexagonal axes) and the conventional cell measures 2.8062, 2.8062 and 28.9513 Å, with angles of 90.00, 90.00 and 120.00 degrees. The asymmetric unit holds Y at (0.0000, 0.0000, 0.0000), Ni at (0.0000, 0.0000, 0.5000) and W at (0.0000, 0.0000, 0.2377).

---

No. 4
DFT (GGA-PBEsol) results for a relaxed structure of Zn2NiW.

The space group is Cm (No. 8) and the conventional cell measures 8.5714, 2.6255 and 4.7910 Å, with angles of 90.00, 99.01 and 90.00 degrees. The asymmetric unit holds Zn at (0.0000, 0.0000, 0.0000), Zn at (0.2481, 0.0000, 0.7829), Ni at (0.2418, 0.5000, 0.2834) and W at (0.4910, 0.0000, 0.4884).

---

Looking at total magnetization for the records above, in order, we have 0.00 0.00 0.00 0.00 μB/f.u..
Looking at VASP energy for the records above, in order, we have -8.788 -9.838 -9.510 -5.624 eV per atom.
Looking at calculated formation energy for the records above, in order, we have -1.85 7.16 14.72 3.65 kcal/mol of atoms.